1:
First-principles (PBE) data for a geometry-optimized Zr2AgBr structure, as listed in the Alexandria database.

Computed properties:
**Total magnetic moment**: 0.00 μB per formula unit

Cell: 3.2472 3.2472 28.1155 Å, 90.00 90.00 120.00°
Space group R-3m (No. 166, hexagonal axes)
Asymmetric unit:
1 Zr 0.0000 0.0000 0.2494
2 Ag 0.0000 0.0000 0.0000
3 Br 0.0000 0.0000 0.5000

=====

2:
First-principles (PBE) data for a geometry-optimized Zr2AgBr structure, as listed in the Alexandria database.

Computed properties:
**Total magnetic moment**: 0.00 μB per formula unit

Cell: 3.2344 3.2344 9.2849 Å, 90.00 90.00 90.00°
Space group P4mm (No. 99)
Asymmetric unit:
1 Zr 0.0000 0.0000 0.0000
2 Zr 0.5000 0.5000 0.2381
3 Ag 0.0000 0.0000 0.4544
4 Br 0.5000 0.5000 0.7981

=====

Tell me which of them is the most stable. Sure, it is 2.

=====

1:
First-principles (PBE) data for a geometry-optimized ZrAgBr2 structure, as listed in the Alexandria database.

Computed properties:
**Total magnetic moment**: 1.01 μB per formula unit

Cell: 7.1729 7.1729 7.1729 Å, 90.00 90.00 90.00°
Space group F-43m (No. 216)
Asymmetric unit:
1 Zr 0.0000 0.0000 0.0000
2 Ag 0.2500 0.2500 0.2500
3 Br 0.0000 0.0000 0.5000
4 Br 0.2500 0.2500 0.7500

=====

2:
First-principles (PBE) data for a geometry-optimized ZrAgBr2 structure, as listed in the Alexandria database.

Computed properties:
**Total magnetic moment**: 0.00 μB per formula unit

Cell: 3.4267 4.5106 5.9404 Å, 90.00 90.00 90.00°
Space group Pmmm (No. 47)
Asymmetric unit:
1 Zr 0.0000 0.0000 0.0000
2 Ag 0.5000 0.0000 0.5000
3 Br 0.0000 0.5000 0.5000
4 Br 0.5000 0.5000 0.0000

=====

3:
First-principles (PBE) data for a geometry-optimized ZrAgBr2 structure, as listed in the Alexandria database.

Computed properties:
**Total magnetic moment**: 0.00 μB per formula unit

Cell: 3.3226 5.0944 14.7024 Å, 90.00 90.00 90.00°
Space group Immm (No. 71)
Asymmetric unit:
1 Zr 0.0000 0.0000 0.0000
2 Ag 0.0000 0.0000 0.5000
3 Br 0.0000 0.5000 0.3525

=====

Tell me which of them is the most stable. Sure, it is 3.

=====

1:
First-principles (PBE) data for a geometry-optimized ZrAgBr2 structure, as listed in the Alexandria database.

Computed properties:
**Total magnetic moment**: 0.10 μB per formula unit

Cell: 11.4983 3.3742 7.3703 Å, 90.00 114.53 90.00°
Space group Cm (No. 8)
Asymmetric unit:
1 Zr 0.0000 0.0000 0.0000
2 Ag 0.2074 0.5000 0.0007
3 Br 0.3479 0.0000 0.7163
4 Br 0.4981 0.0000 0.2833

=====

2:
First-principles (PBE) data for a geometry-optimized ZrAgBr2 structure, as listed in the Alexandria database.

Computed properties:
**Total magnetic moment**: 0.00 μB per formula unit

Cell: 3.3877 3.3877 32.8635 Å, 90.00 90.00 120.00°
Space group R-3m (No. 166, hexagonal axes)
Asymmetric unit:
1 Zr 0.0000 0.0000 0.0000
2 Ag 0.0000 0.0000 0.5000
3 Br 0.0000 0.0000 0.2739

=====

3:
First-principles (PBE) data for a geometry-optimized ZrAgBr2 structure, as listed in the Alexandria database.

Computed properties:
**Total magnetic moment**: 1.37 μB per formula unit

Cell: 5.0374 5.0374 3.4690 Å, 90.00 90.00 90.00°
Space group P4/mmm (No. 123)
Asymmetric unit:
1 Zr 0.0000 0.0000 0.0000
2 Ag 0.5000 0.5000 0.0000
3 Br 0.0000 0.5000 0.5000

=====

Tell me which of them is the most stable. Sure, it is 2.